No. 1
Material: NaCuH3
Method: DFT, PBE
State: relaxed

Results
symmetry = P2_1/m, No. 11
ΔE to the lowest computed polymorph = 148 meV/atom

Lattice parameters (Å, degrees): 3.548 5.309 5.386 90.00 109.01 90.00
Fractional positions:
H 0.537 0.750 0.575
H 0.108 0.021 0.718
Cu 0.978 0.250 0.457
Na 0.693 0.250 0.889
Cu 0.022 0.750 0.543
H 0.108 0.479 0.718
H 0.892 0.521 0.282
H 0.463 0.250 0.425
H 0.892 0.979 0.282
Na 0.307 0.750 0.111

***

No. 2
Material: K3SnPt8
Method: DFT, PBE
State: relaxed

Results
symmetry = R3m, No. 160

Lattice parameters (Å, degrees): 5.509 5.509 9.510 73.16 73.16 60.00
Fractional positions:
Pt 0.688 0.688 0.937
Pt 0.938 0.445 0.679
Pt 0.931 0.436 0.197
Pt 0.445 0.938 0.679
K 0.374 0.374 0.878
Sn 0.877 0.877 0.368
Pt 0.436 0.931 0.197
K 0.002 0.002 0.993
K 0.498 0.498 0.507
Pt 0.436 0.436 0.197
Pt 0.938 0.938 0.679
Pt 0.187 0.187 0.438

***

No. 3
Material: La2ZnRuN
Method: DFT, PBE
State: relaxed

Results
symmetry = P4/mmm, No. 123

Lattice parameters (Å, degrees): 5.264 5.264 3.874 90.00 90.00 90.00
Fractional positions:
Zn 0.500 0.500 0.500
N 0.000 0.000 0.000
La 0.000 0.500 0.000
Ru 0.000 0.000 0.500
La 0.500 0.000 0.000

***

No. 4
Material: Ag5Au3
Method: DFT, PBE
State: relaxed

Results
symmetry = Cmmm, No. 65
ΔE to the lowest computed polymorph = 4 meV/atom

Lattice parameters (Å, degrees): 5.935 5.935 4.070 90.00 90.00 90.44
Fractional positions:
Au 0.250 0.250 0.500
Au 0.500 0.500 0.000
Ag 0.000 0.000 0.000
Ag 0.500 0.000 0.000
Ag 0.249 0.751 0.500
Au 0.750 0.750 0.500
Ag 0.751 0.249 0.500
Ag 0.000 0.500 0.000

***

No. 5
Material: Sc2TaCr
Method: DFT, PBE
State: relaxed

Results
symmetry = P4mm, No. 99
ΔE to the lowest computed polymorph = 0 meV/atom

Lattice parameters (Å, degrees): 3.224 3.224 7.487 90.00 90.00 90.00
Each line ends with the local moment (μB).
Fractional positions:
Sc 0.000 0.000 0.946  -0.04
Ta 0.000 0.000 0.548  -0.06
Sc 0.500 0.500 0.288  0.07
Cr 0.500 0.500 0.719  0.67

***

No. 6
Material: SmIn4Hg
Method: DFT, PBE
State: relaxed

Results
symmetry = F-43m, No. 216

Lattice parameters (Å, degrees): 6.125 6.125 6.125 60.00 60.00 60.00
Fractional positions:
In 0.625 0.125 0.625
Sm 0.250 0.250 0.250
In 0.625 0.625 0.625
Hg 0.000 0.000 0.000
In 0.125 0.625 0.625
In 0.625 0.625 0.125

***

No. 7
Material: Ba2DyTl
Method: DFT, PBE
State: relaxed

Results
symmetry = R-3m, No. 166

Lattice parameters (Å, degrees): 3.888 3.888 13.065 81.44 81.44 60.00
Fractional positions:
Ba 0.906 0.906 0.282
Ba 0.094 0.094 0.718
Dy 0.000 0.000 0.000
Tl 0.500 0.500 0.500

***

No. 8
Material: Cu3AgI4
Method: DFT, PBE
State: relaxed

Results
symmetry = I-42m, No. 121

Lattice parameters (Å, degrees): 6.215 6.215 7.591 114.16 114.16 90.00
Fractional positions:
I 0.397 0.397 0.264
I 0.133 0.603 0.736
I 0.603 0.133 0.736
Cu 0.500 0.500 0.000
I 0.867 0.867 0.264
Ag 0.000 0.000 0.000
Cu 0.750 0.250 0.500
Cu 0.250 0.750 0.500

***

No. 9
Material: Sm6SiP3S2
Method: DFT, PBE
State: relaxed

Results
symmetry = C2/m, No. 12

Lattice parameters (Å, degrees): 4.091 8.215 9.165 102.86 102.90 90.00
Fractional positions:
S 0.831 0.662 0.663
P 0.500 0.500 0.000
Sm 0.335 0.412 0.671
S 0.169 0.338 0.337
P 0.832 0.168 0.664
Si 0.500 0.000 0.000
Sm 0.000 0.747 0.000
Sm 0.665 0.588 0.329
Sm 0.333 0.920 0.665
Sm 0.000 0.253 0.000
P 0.168 0.832 0.336
Sm 0.667 0.080 0.335

***

No. 10
Material: TmVFeSi2
Method: DFT, PBE
State: relaxed

Results
symmetry = I-4m2, No. 119

Lattice parameters (Å, degrees): 3.851 3.851 5.906 109.03 109.03 90.00
Each line ends with the local moment (μB).
Fractional positions:
Si 0.385 0.385 0.769  -0.01
V 0.250 0.750 0.500  0.24
Fe 0.750 0.250 0.500  0.54
Si 0.615 0.615 0.231  -0.01
Tm 0.000 0.000 0.000  -0.04

***

No. 11
Material: BaScTeN2
Method: DFT, PBE
State: relaxed

Results
symmetry = P4/mmm, No. 123
ΔE to the lowest computed polymorph = 0 meV/atom

Lattice parameters (Å, degrees): 4.610 4.610 5.666 90.00 90.00 90.00
Each line ends with the local moment (μB).
Fractional positions:
N 0.000 0.500 0.000  0.92
Sc 0.000 0.000 0.000  -0.08
Ba 0.500 0.500 0.500  0.01
N 0.500 0.000 0.000  0.92
Te 0.000 0.000 0.500  0.17

***

No. 12
Material: TiNiTe2
Method: DFT, PBE
State: relaxed

Results
symmetry = R-3m, No. 166

Lattice parameters (Å, degrees): 8.620 8.620 8.620 24.84 24.84 24.84
Each line ends with the local moment (μB).
Fractional positions:
Ti 0.500 0.500 0.500  -0.03
Te 0.903 0.903 0.903  0.00
Te 0.097 0.097 0.097  0.00
Ni 0.000 0.000 0.000  0.51

***

The calculation returns the following VASP energy values, one per record and in order: -3.019, -4.849, -6.358, -3.041, -8.413, -2.767, -2.493, -2.829, -6.470, -7.155, -5.713, -5.108 eV per atom.
The calculation returns the following magnetic moment values, one per record and in order: 0.0, 0.0, 0.0, 0.0, 0.7, 0.0, 0.0, 0.0, 0.0, 0.7, 3.0, 0.5 μB/cell.